# La3Nd4Er4

A geometry-optimized La3Nd4Er4 structure (GGA-PBE, Alexandria via LeMat-Bulk).

As for the crystal system: orthorhombic. The value obtained for the distance to the lowest polymorph of the same formula is 0.148 eV/atom. The value obtained for the formation energy is 3.9 kcal/mol of atoms.

The structure belongs to space group Amm2 (No. 38); the cell edges are 11.593, 5.783 and 11.457 Å and the angles 90.00°, 90.00° and 90.00°. The inequivalent atoms are La at (0.000, 0.000, 0.000), La at (0.318, 0.000, 0.135), Nd at (0.000, 0.000, 0.688), Nd at (0.224, 0.000, 0.490), Nd at (0.500, 0.000, 0.696), Er at (0.000, 0.000, 0.307), Er at (0.254, 0.000, 0.824) and Er at (0.500, 0.000, 0.388).



# LaNdInAg

A geometry-optimized LaNdInAg structure (GGA-PBE, Alexandria via LeMat-Bulk).

As for the crystal system: cubic. The value obtained for the distance to the lowest polymorph of the same formula is 0.009 eV/atom. The value obtained for the formation energy is -8.5 kcal/mol of atoms.

The structure belongs to space group F-43m (No. 216); the cell edges are 7.742, 7.742 and 7.742 Å and the angles 90.00°, 90.00° and 90.00°. The inequivalent atoms are La at (0.000, 0.000, 0.000), Nd at (0.000, 0.000, 0.500), In at (0.250, 0.250, 0.250) and Ag at (0.250, 0.250, 0.750).



# ZrTlCo

A geometry-optimized ZrTlCo structure (GGA-PBE, Alexandria via LeMat-Bulk).

As for the crystal system: trigonal. The value obtained for the distance to the lowest polymorph of the same formula is 0.152 eV/atom. The value obtained for the formation energy is 4.5 kcal/mol of atoms.

The structure belongs to space group P3m1 (No. 156); the cell edges are 3.4192, 3.4192 and 6.0887 Å and the angles 90.00°, 90.00° and 120.00°. The inequivalent atoms are Zr at (0.0000, 0.0000, 0.0000), Tl at (0.6667, 0.3333, 0.5751) and Co at (0.3333, 0.6667, 0.2514).



# InGaHg

A geometry-optimized InGaHg structure (GGA-PBE, Alexandria via LeMat-Bulk).

As for the crystal system: monoclinic. The value obtained for the formation energy is 0.9 kcal/mol of atoms.

The structure belongs to space group Cc (No. 9); the cell edges are 7.208, 11.965 and 4.600 Å and the angles 90.00°, 129.45° and 90.00°. The inequivalent atoms are In at (0.000, 0.199, 0.000), Ga at (0.372, 0.443, 0.872) and Hg at (0.386, 0.103, 0.886).



# Mg2MoRu

A geometry-optimized Mg2MoRu structure (GGA-PBE, Alexandria via LeMat-Bulk).

As for the crystal system: tetragonal. The value obtained for the distance to the lowest polymorph of the same formula is 0.777 eV/atom. The value obtained for the formation energy is 17.6 kcal/mol of atoms.

The structure belongs to space group I-42d (No. 122); the cell edges are 7.283, 7.283 and 5.254 Å and the angles 90.00°, 90.00° and 90.00°. The inequivalent atoms are Mg at (0.233, 0.250, 0.125), Mo at (0.000, 0.000, 0.500) and Ru at (0.000, 0.000, 0.000).



# TaAg2Au

A geometry-optimized TaAg2Au structure (GGA-PBE, Alexandria via LeMat-Bulk).

As for the crystal system: orthorhombic. The value obtained for the distance to the lowest polymorph of the same formula is 0.083 eV/atom. The value obtained for the formation energy is 4.0 kcal/mol of atoms.

The structure belongs to space group Cmmm (No. 65); the cell edges are 3.198, 4.614 and 9.742 Å and the angles 90.00°, 90.00° and 90.00°. The inequivalent atoms are Ta at (0.000, 0.000, 0.000), Ag at (0.000, 0.500, 0.249) and Au at (0.000, 0.000, 0.500).



# AlCu2Ni

A geometry-optimized AlCu2Ni structure (GGA-PBE, Alexandria via LeMat-Bulk).

As for the crystal system: trigonal. The value obtained for the formation energy is -3.0 kcal/mol of atoms.

The structure belongs to space group P-3m1 (No. 164); the cell edges are 4.0292, 4.0292 and 7.3768 Å and the angles 90.00°, 90.00° and 120.00°. The inequivalent atoms are Al at (0.0000, 0.0000, 0.1862), Cu at (0.3333, 0.6667, 0.2652), Cu at (0.3333, 0.6667, 0.5953) and Ni at (0.3333, 0.6667, 0.9284).



# CsYSb2I

A geometry-optimized CsYSb2I structure (GGA-PBE, Alexandria via LeMat-Bulk).

The uncorrected formation energy comes out at -0.5293 eV per atom. As for the crystal system: tetragonal. The value obtained for the distance to the lowest polymorph of the same formula is 0.000 eV/atom.

The structure belongs to space group P4/mmm (No. 123); the cell edges are 5.915, 5.915 and 6.344 Å and the angles 90.00°, 90.00° and 90.00°. The inequivalent atoms are Cs at (0.000, 0.000, 0.000), Y at (0.500, 0.500, 0.500), Sb at (0.000, 0.500, 0.500) and I at (0.500, 0.500, 0.000).



# SmZn4Ga2

A geometry-optimized SmZn4Ga2 structure (GGA-PBE, Alexandria via LeMat-Bulk).

As for the crystal system: orthorhombic. The value obtained for the formation energy is -7.1 kcal/mol of atoms.

The structure belongs to space group Cmmm (No. 65); the cell edges are 4.142, 14.656 and 4.107 Å and the angles 90.00°, 90.00° and 90.00°. The inequivalent atoms are Sm at (0.000, 0.000, 0.000), Zn at (0.000, 0.186, 0.500), Zn at (0.000, 0.309, 0.000) and Ga at (0.000, 0.415, 0.500).



# La8Si3I3O

A geometry-optimized La8Si3I3O structure (GGA-PBE, Alexandria via LeMat-Bulk).

The uncorrected formation energy comes out at -1.0699 eV per atom. As for the crystal system: monoclinic.

The structure belongs to space group C2/m (No. 12); the cell edges are 14.756, 8.509 and 9.333 Å and the angles 90.00°, 121.84° and 90.00°. The inequivalent atoms are La at (0.014, 0.227, 0.313), La at (0.213, 0.000, 0.687), La at (0.234, 0.500, 0.702), Si at (0.000, 0.500, 0.500), Si at (0.250, 0.250, 0.500), I at (0.000, 0.000, 0.000), I at (0.250, 0.250, 0.000) and O at (0.000, 0.000, 0.500).



# KAs

A geometry-optimized KAs structure (GGA-PBE, Alexandria via LeMat-Bulk).

As for the crystal system: monoclinic. The value obtained for the distance to the lowest polymorph of the same formula is 0.167 eV/atom. The value obtained for the formation energy is -6.8 kcal/mol of atoms.

The structure belongs to space group Cm (No. 8); the cell edges are 12.344, 4.236 and 9.050 Å and the angles 90.00°, 124.35° and 90.00°. The inequivalent atoms are K at (0.000, 0.000, 0.000), K at (0.029, 0.500, 0.653), K at (0.363, 0.500, 0.245), As at (0.162, 0.500, 0.437), As at (0.247, 0.000, 0.906) and As at (0.268, 0.000, 0.654).